# 1
{
  "formula": "NbFeMo2",
  "functional": "PBE-GGA",
  "state": "relaxed",
  "lattice": [[3.7258, 0.0000, 0.0000], [0.0000, 3.7258, 0.0000], [0.0000, 0.0000, 4.4955]],
  "species": ["Nb", "Fe", "Mo", "Mo"],
  "fractional_positions": [[0.0000, 0.0000, 0.0000], [0.5000, 0.5000, 0.0000], [0.0000, 0.5000, 0.5000], [0.5000, 0.0000, 0.5000]],
  "magnetic_moment_mub_per_fu": 1.97,
  "formation_energy_ev_per_fu": 0.72,
  "polymorph_energy_ev_per_fu": 0.00
}

# 2
{
  "formula": "GdLuNi2",
  "functional": "PBE-GGA",
  "state": "relaxed",
  "lattice": [[6.7170, 0.0000, 0.0000], [0.0000, 6.7170, 0.0000], [0.0000, 0.0000, 6.7170]],
  "species": ["Gd", "Gd", "Gd", "Gd", "Lu", "Lu", "Lu", "Lu", "Ni", "Ni", "Ni", "Ni", "Ni", "Ni", "Ni", "Ni"],
  "fractional_positions": [[0.0000, 0.0000, 0.0000], [0.0000, 0.5000, 0.5000], [0.5000, 0.0000, 0.5000], [0.5000, 0.5000, 0.0000], [0.0000, 0.0000, 0.5000], [0.0000, 0.5000, 0.0000], [0.5000, 0.0000, 0.0000], [0.5000, 0.5000, 0.5000], [0.2500, 0.2500, 0.2500], [0.2500, 0.2500, 0.7500], [0.2500, 0.7500, 0.2500], [0.2500, 0.7500, 0.7500], [0.7500, 0.2500, 0.2500], [0.7500, 0.2500, 0.7500], [0.7500, 0.7500, 0.2500], [0.7500, 0.7500, 0.7500]],
  "magnetic_moment_mub_per_fu": 7.23,
  "formation_energy_ev_per_fu": -1.61,
  "polymorph_energy_ev_per_fu": 0.00
}